Computed, not measured: a relaxed Ca3Ac8La2 crystal at the PBE-GGA level of DFT.

Summary:
The calculation puts the calculated formation energy at 0.1995 eV per atom. The final energy is -3.55 eV per atom. As for the total moment: 0.003 μB/f.u.

a b c (Å): 23.208 8.057 6.220
angles (deg): 90.00 90.04 90.00
Space group C2/m (No. 12)
Asymmetric unit:
1 Ca 0.000 0.000 0.000 x2
2 Ca 0.000 0.271 0.500 x4
3 Ac 0.111 0.279 0.000 x8
4 Ac 0.145 0.000 0.500 x4
5 Ac 0.175 0.500 0.500 x4
6 La 0.243 0.000 0.000 x4